[1]
VASP calculation (PBEsol) on an optimized crystal structure of BaZnMo.

Values from the calculation:
**Crystal system**: cubic

Lattice parameters (Å, degrees): 7.2900 7.2900 7.2900 90.00 90.00 90.00
Space group F-43m (No. 216)
Asymmetric unit:
1 Ba 0.0000 0.0000 0.0000
2 Zn 0.2500 0.2500 0.7500
3 Mo 0.2500 0.2500 0.2500

[2]
VASP calculation (PBEsol) on an optimized crystal structure of BaZrMo2.

Values from the calculation:
**Crystal system**: tetragonal

Lattice parameters (Å, degrees): 3.2278 3.2278 8.7774 90.00 90.00 90.00
Space group P4mm (No. 99)
Asymmetric unit:
1 Ba 0.0000 0.0000 0.0000
2 Zr 0.5000 0.5000 0.6366
3 Mo 0.0000 0.0000 0.4429
4 Mo 0.5000 0.5000 0.2932

[3]
VASP calculation (PBEsol) on an optimized crystal structure of BaZrMo2.

Values from the calculation:
**Crystal system**: orthorhombic

Lattice parameters (Å, degrees): 3.2955 5.0933 9.4898 90.00 90.00 90.00
Space group Immm (No. 71)
Asymmetric unit:
1 Ba 0.0000 0.0000 0.0000
2 Zr 0.0000 0.0000 0.5000
3 Mo 0.0000 0.5000 0.2465

[4]
VASP calculation (PBEsol) on an optimized crystal structure of BaZrMo2.

Values from the calculation:
**Crystal system**: tetragonal

Lattice parameters (Å, degrees): 4.8813 4.8813 3.3472 90.00 90.00 90.00
Space group P4/mmm (No. 123)
Asymmetric unit:
1 Ba 0.0000 0.0000 0.0000
2 Zr 0.5000 0.5000 0.0000
3 Mo 0.0000 0.5000 0.5000

Results for energy relative to the elements: 1.813 0.448 1.076 1.097 (in eV/atom, following the order of the records).
Results for polymorph energy (0 for the lowest one): 523.0 0.0 628.0 648.5 (in meV/atom, following the order of the records).